Below is Pu2NbSn after structural relaxation, with properties calculated at the PBE-GGA level.

Geometry as POSCAR:
```
Pu2NbSn
1.0
4.743 0.000 0.000
0.000 4.351 0.000
0.000 0.000 4.351
Pu Nb Sn
2 1 1
Direct
0.000 0.000 0.500
0.000 0.500 0.000
0.500 0.500 0.500
0.500 0.000 0.000
```

DFT formation energy, eV per atom: -0.08
Offset from the most stable computed form, meV/atom: 0
Total magnetic moment, μB per atom: 2.47
Fermi-level density of states, states/eV per cell: 9.606